V2BIr8 | Alexandria via LeMat-Bulk | GGA-PBE | relaxed; Fermi-level density of states = 9.44 states/eV/cell; E_tot = -8.986 eV/atom; energy of formation from the pure elements = -6.4 kcal/mol of atoms
1.0
-2.185 2.744 6.323
2.185 -2.744 6.323
2.185 2.744 -6.323
V B Ir
2 1 8
Direct
0.190 0.190 0.000 V
0.810 0.810 0.000 V
0.500 0.500 0.000 B
0.113 0.371 0.742 Ir
0.252 0.000 0.252 Ir
0.317 0.817 0.500 Ir
0.371 0.629 0.742 Ir
0.629 0.371 0.258 Ir
0.683 0.183 0.500 Ir
0.748 0.000 0.748 Ir
0.887 0.629 0.258 Ir